Crystalline LaAlZn2Ga4 at its relaxed geometry. Source: the Alexandria database, functional GGA-PBE.

abc: 4.5793 4.5793 9.0932
angles: 75.42 75.42 60.00
Sites, in units of the cell vectors:
La 0.0000 0.0000 0.0000
Al 0.5000 0.5000 0.5000
Zn 0.7494 0.7494 0.7518
Zn 0.2506 0.2506 0.2482
Ga 0.4014 0.4014 0.7958
Ga 0.8691 0.8691 0.3928
Ga 0.1309 0.1309 0.6072
Ga 0.5986 0.5986 0.2042

Computed properties:
E_form, eV/atom: -0.22